1.
The following is a PBE-GGA calculation of a relaxed structure of PrAlHg, from Alexandria.

The structure in extended XYZ format:
```
6
Lattice="4.743 0.000 0.000 2.372 5.582 -0.171 2.372 -0.073 5.584" Properties=species:S:1:pos:R:3 pbc="T T T"
Hg 4.743 1.080 1.263
Hg 4.743 4.227 4.355
Pr 2.372 3.401 2.048
Pr 4.743 0.948 4.545
Al 2.372 -0.013 2.134
Al 7.115 3.375 5.463
```

Computed properties:
ΔH_f (0 K): -472 meV/atom
Calculated volume: 24.63 Å³ per atom
N(E_F): 3.65 states/eV per cell
Symmetry: Imm2, No. 44
Final energy: -3.4131 eV/atom

2.
The following is a PBE-GGA calculation of a relaxed structure of Pr2AlHg, from Alexandria.

The structure in extended XYZ format:
```
4
Lattice="-0.928 3.264 1.794 -3.232 1.850 -0.931 -6.092 -3.227 6.823" Properties=species:S:1:pos:R:3 pbc="T T T"
Hg -5.126 0.943 3.843
Al 0.000 0.000 0.000
Pr -7.742 1.360 5.838
Pr -2.511 0.527 1.849
```

Computed properties:
ΔH_f (0 K): -217 meV/atom
Calculated volume: 30.12 Å³ per atom
N(E_F): 4.02 states/eV per cell
ΔE to the lowest computed polymorph: 194 meV per atom
Symmetry: R-3m, No. 166
Final energy: -3.6175 eV/atom

3.
The following is a PBE-GGA calculation of a relaxed structure of PrAlHg2, from Alexandria.

The structure in extended XYZ format:
```
4
Lattice="4.757 0.000 0.000 0.000 4.551 0.000 0.000 0.000 4.551" Properties=species:S:1:pos:R:3 pbc="T T T"
Hg 0.000 2.276 0.000
Hg 0.000 0.000 2.276
Al 2.379 2.276 2.276
Pr 2.379 0.000 0.000
```

Computed properties:
ΔH_f (0 K): -287 meV/atom
Calculated volume: 24.63 Å³ per atom
N(E_F): 4.01 states/eV per cell
Symmetry: P4/mmm, No. 123
Final energy: -2.5683 eV/atom

4.
The following is a PBE-GGA calculation of a relaxed structure of Pr8AlHg2, from Alexandria.

The structure in extended XYZ format:
```
11
Lattice="4.977 0.000 -1.515 -1.304 7.542 -4.283 0.068 0.112 9.156" Properties=species:S:1:pos:R:3 pbc="T T T"
Pr 4.151 5.280 4.706
Pr 1.002 4.367 3.294
Pr -0.410 2.373 -1.348
Pr 0.512 1.044 1.682
Pr 2.144 6.722 -1.887
Pr 3.229 6.610 1.676
Pr 2.738 3.286 0.064
Pr 1.596 0.932 5.245
Hg 0.089 5.282 0.294
Hg 3.651 2.371 3.064
Al 2.488 0.000 -0.757
```

Computed properties:
ΔH_f (0 K): -171 meV/atom
Calculated volume: 31.54 Å³ per atom
N(E_F): 12.49 states/eV per cell
ΔE to the lowest computed polymorph: 29 meV per atom
Symmetry: Immm, No. 71
Final energy: -4.0417 eV/atom